Material: MgAsSO2
Method: DFT, GGA-PBE
State: optimized geometry

a = 3.777 Å, b = 5.060 Å, c = 3.777 Å
α = 90.00°, β = 90.00°, γ = 90.00°
Sites, in units of the cell vectors:
Mg 0.500 0.500 0.500
As 0.000 0.000 0.000
S 0.000 0.500 0.000
O 0.000 0.000 0.500
O 0.500 0.000 0.000

Computed properties:
Formation energy from raw total energies: -4.17 eV/f.u.
Calculated volume: 14.43 Å³/atom
Spin magnetization: 0.00 μB/cell

Material: MgSbAsO6
Method: DFT, GGA-PBE
State: optimized geometry

a = 5.048 Å, b = 5.048 Å, c = 9.194 Å
α = 90.00°, β = 90.00°, γ = 120.00°
Sites, in units of the cell vectors:
Mg 0.000 0.000 0.000
Mg 0.000 0.000 0.500
Sb 0.667 0.333 0.250
Sb 0.333 0.667 0.750
As 0.333 0.667 0.250
As 0.667 0.333 0.750
O 0.633 0.653 0.135
O 0.021 0.367 0.135
O 0.367 0.021 0.635
O 0.979 0.633 0.865
O 0.347 0.367 0.365
O 0.021 0.653 0.365
O 0.653 0.021 0.865
O 0.633 0.979 0.365
O 0.979 0.347 0.635
O 0.347 0.979 0.135
O 0.653 0.633 0.635
O 0.367 0.347 0.865

Computed properties:
Formation energy from raw total energies: -14.75 eV/f.u.
Calculated volume: 11.27 Å³/atom
Spin magnetization: 0.00 μB/cell

Material: MgAs2SeO
Method: DFT, GGA-PBE
State: optimized geometry

a = 4.981 Å, b = 4.981 Å, c = 4.771 Å
α = 90.00°, β = 90.00°, γ = 90.00°
Sites, in units of the cell vectors:
O 0.500 0.500 0.500
As 0.000 0.500 0.000
As 0.500 0.000 0.000
Mg 0.000 0.000 0.000
Se 0.000 0.000 0.500

Computed properties:
Formation energy from raw total energies: 5.30 eV/f.u.
Calculated volume: 23.68 Å³/atom
Spin magnetization: 0.00 μB/cell

no.,DOS at the Fermi energy (states/eV/atom)
1,0.144
2,0.000
3,1.845